# 1
A relaxed structure of NaGaGe, computed with PBE.

Computed properties:
As for the space group: P-1, No. 2. The formation energy comes out at -0.123 eV per atom. The value obtained for the total magnetization is 0.0 μB/f.u.

Lattice parameters (Å, degrees): 4.531 5.676 5.842 80.92 67.21 66.54
Fractional positions:
Na1 0.070 0.183 0.175
Na2 0.930 0.817 0.825
Ga1 0.341 0.237 0.581
Ga2 0.659 0.763 0.419
Ge1 0.343 0.589 0.225
Ge2 0.657 0.411 0.775

***

# 2
A relaxed structure of Na5GaGe2, computed with PBE.

Computed properties:
As for the space group: P2_1/m, No. 11. The formation energy comes out at -0.132 eV per atom. The value obtained for the total magnetization is 0.0 μB/f.u.

Lattice parameters (Å, degrees): 5.646 9.289 8.294 90.00 98.06 90.00
Fractional positions:
Na1 0.071 0.250 0.480
Na2 0.180 0.573 0.885
Na3 0.180 0.927 0.885
Na4 0.406 0.575 0.310
Na5 0.406 0.925 0.310
Na6 0.594 0.075 0.690
Na7 0.594 0.425 0.690
Na8 0.820 0.073 0.115
Na9 0.820 0.427 0.115
Na10 0.929 0.750 0.520
Ga1 0.310 0.250 0.094
Ga2 0.690 0.750 0.906
Ge1 0.066 0.250 0.837
Ge2 0.455 0.750 0.643
Ge3 0.545 0.250 0.357
Ge4 0.934 0.750 0.163

***

# 3
A relaxed structure of Na3Ga4Ge2, computed with PBE.

Computed properties:
As for the space group: C2/m, No. 12. The formation energy comes out at -0.134 eV per atom. The value obtained for the total magnetization is 0.0 μB/f.u.

Lattice parameters (Å, degrees): 5.710 5.710 9.009 100.86 100.86 44.46
Fractional positions:
Na1 0.000 0.000 0.000
Na2 0.385 0.385 0.293
Na3 0.615 0.615 0.707
Ga1 0.112 0.112 0.448
Ga2 0.279 0.279 0.943
Ga3 0.721 0.721 0.057
Ga4 0.888 0.888 0.552
Ge1 0.322 0.322 0.677
Ge2 0.678 0.678 0.323

***

# 4
A relaxed structure of Na4Ga2Ge5, computed with PBE.

Computed properties:
As for the space group: P2/m, No. 10. The formation energy comes out at 0.013 eV per atom. The value obtained for the total magnetization is 0.0 μB/f.u.

Lattice parameters (Å, degrees): 7.541 2.942 10.059 90.00 93.23 90.00
Fractional positions:
Na1 0.154 0.000 0.404
Na2 0.307 0.000 0.949
Na3 0.693 0.000 0.051
Na4 0.846 0.000 0.596
Ga1 0.047 0.500 0.135
Ga2 0.953 0.500 0.865
Ge1 0.217 0.500 0.682
Ge2 0.416 0.500 0.224
Ge3 0.500 0.500 0.500
Ge4 0.584 0.500 0.776
Ge5 0.783 0.500 0.318

***

# 5
A relaxed structure of Na2GaGe, computed with PBE.

Computed properties:
The relative energy among the computed polymorphs comes out at 168 meV per atom. As for the space group: Fm-3m, No. 225. The formation energy comes out at 0.084 eV per atom. The value obtained for the total magnetization is 0.0 μB/f.u.

Lattice parameters (Å, degrees): 7.086 7.086 7.086 90.00 90.00 90.00
Fractional positions:
Na1 0.250 0.250 0.250
Na2 0.250 0.250 0.750
Na3 0.250 0.750 0.250
Na4 0.250 0.750 0.750
Na5 0.750 0.250 0.250
Na6 0.750 0.250 0.750
Na7 0.750 0.750 0.250
Na8 0.750 0.750 0.750
Ga1 0.000 0.000 0.000
Ga2 0.000 0.500 0.500
Ga3 0.500 0.000 0.500
Ga4 0.500 0.500 0.000
Ge1 0.000 0.000 0.500
Ge2 0.000 0.500 0.000
Ge3 0.500 0.000 0.000
Ge4 0.500 0.500 0.500

***

# 6
A relaxed structure of NaGaGe, computed with PBE.

Computed properties:
As for the space group: C2/m, No. 12. The formation energy comes out at -0.022 eV per atom. The value obtained for the total magnetization is 0.0 μB/f.u.

Lattice parameters (Å, degrees): 12.469 4.802 4.371 90.00 90.67 90.00
Fractional positions:
Na1 0.000 0.000 0.000
Na2 0.000 0.500 0.500
Na3 0.500 0.000 0.500
Na4 0.500 0.500 0.000
Ga1 0.184 0.000 0.440
Ga2 0.316 0.500 0.560
Ga3 0.684 0.500 0.440
Ga4 0.816 0.000 0.560
Ge1 0.188 0.500 0.067
Ge2 0.312 0.000 0.933
Ge3 0.688 0.000 0.067
Ge4 0.812 0.500 0.933